{"formula": "KRe2P", "functional": "PBE", "state": "optimized geometry", "formation_energy_mev_per_atom": 769, "cell": [[-1.357, 2.545, 5.042], [1.357, -2.545, 5.042], [1.357, 2.545, -5.042]], "species": ["K", "Re", "Re", "P"], "fractional_positions": [[0.000, 0.000, 0.000], [0.301, 0.801, 0.500], [0.699, 0.199, 0.500], [0.500, 0.500, 0.000]]}


{"formula": "KRe2P", "functional": "PBE", "state": "optimized geometry", "formation_energy_mev_per_atom": 1081, "cell": [[-1.376, 2.944, 5.153], [1.376, -2.944, 5.153], [1.376, 2.944, -5.153]], "species": ["K", "Re", "Re", "P"], "fractional_positions": [[0.000, 0.000, 0.000], [0.465, 0.465, 0.000], [0.671, 0.171, 0.500], [0.274, 0.774, 0.500]]}


{"formula": "KReP2", "functional": "PBE", "state": "optimized geometry", "formation_energy_mev_per_atom": 737, "cell": [[0.000, 3.197, 3.197], [3.197, 0.000, 3.197], [3.197, 3.197, 0.000]], "species": ["K", "Re", "P", "P"], "fractional_positions": [[0.000, 0.000, 0.000], [0.500, 0.500, 0.500], [0.250, 0.250, 0.250], [0.750, 0.750, 0.750]]}


{"formula": "KReP2", "functional": "PBE", "state": "optimized geometry", "formation_energy_mev_per_atom": 1230, "cell": [[-1.955, 1.955, 4.715], [1.955, -1.955, 4.715], [1.955, 1.955, -4.715]], "species": ["K", "Re", "P", "P"], "fractional_positions": [[0.000, 0.000, 0.000], [0.750, 0.250, 0.500], [0.250, 0.750, 0.500], [0.500, 0.500, 0.000]]}


{"formula": "KRe2P", "functional": "PBE", "state": "optimized geometry", "formation_energy_mev_per_atom": 1034, "cell": [[-2.432, 2.432, 8.298], [2.432, -2.432, 8.298], [2.432, 2.432, -8.298]], "species": ["K", "K", "Re", "Re", "Re", "Re", "P", "P"], "fractional_positions": [[0.000, 0.000, 0.000], [0.750, 0.250, 0.500], [0.345, 0.625, 0.220], [0.375, 0.595, 0.720], [0.405, 0.125, 0.780], [0.875, 0.655, 0.280], [0.250, 0.750, 0.500], [0.500, 0.500, 0.000]]}


{"formula": "KRe4P", "functional": "PBE", "state": "optimized geometry", "formation_energy_mev_per_atom": 1243, "cell": [[0.000, 3.776, 3.776], [3.776, 0.000, 3.776], [3.776, 3.776, 0.000]], "species": ["K", "Re", "Re", "Re", "Re", "P"], "fractional_positions": [[0.000, 0.000, 0.000], [0.376, 0.376, 0.376], [0.376, 0.376, 0.872], [0.376, 0.872, 0.376], [0.872, 0.376, 0.376], [0.750, 0.750, 0.750]]}


{"formula": "KRe2P", "functional": "PBE", "state": "optimized geometry", "formation_energy_mev_per_atom": 461, "cell": [[4.211, -1.514, 0.000], [4.211, 1.514, 0.000], [-0.948, 0.000, 6.927]], "species": ["K", "Re", "Re", "P"], "fractional_positions": [[0.000, 0.000, 0.000], [0.516, 0.516, 0.513], [0.779, 0.779, 0.394], [0.238, 0.238, 0.664]]}


{"formula": "KRe2P", "functional": "PBE", "state": "optimized geometry", "formation_energy_mev_per_atom": 1824, "cell": [[0.000, 3.129, 3.129], [3.129, 0.000, 3.129], [3.129, 3.129, 0.000]], "species": ["K", "Re", "Re", "P"], "fractional_positions": [[0.000, 0.000, 0.000], [0.250, 0.250, 0.250], [0.750, 0.750, 0.750], [0.500, 0.500, 0.500]]}


{"formula": "KReP2", "functional": "PBE", "state": "optimized geometry", "formation_energy_mev_per_atom": -75, "cell": [[3.813, -1.626, 0.000], [3.813, 1.626, 0.000], [-1.382, 0.000, 6.578]], "species": ["K", "Re", "P", "P"], "fractional_positions": [[0.000, 0.000, 0.000], [0.500, 0.500, 0.500], [0.228, 0.228, 0.642], [0.772, 0.772, 0.358]]}


{"formula": "KRe2P", "functional": "PBE", "state": "optimized geometry", "formation_energy_mev_per_atom": 797, "cell": [[1.500, -2.441, 0.000], [1.500, 2.441, 0.000], [0.000, 0.000, 9.574]], "species": ["K", "Re", "Re", "P"], "fractional_positions": [[0.000, 0.000, 0.000], [0.500, 0.500, 0.311], [0.500, 0.500, 0.689], [0.000, 0.000, 0.500]]}


{"formula": "KRe2P", "functional": "PBE", "state": "optimized geometry", "formation_energy_mev_per_atom": 1383, "cell": [[2.587, 0.000, 0.000], [0.000, 5.049, 0.000], [0.000, 0.000, 5.701]], "species": ["K", "Re", "Re", "P"], "fractional_positions": [[0.000, 0.000, 0.000], [0.000, 0.500, 0.500], [0.500, 0.000, 0.500], [0.500, 0.500, 0.000]]}


{"formula": "KReP2", "functional": "PBE", "state": "optimized geometry", "formation_energy_mev_per_atom": 367, "cell": [[-2.037, 3.229, 3.861], [2.037, -3.229, 3.861], [2.037, 3.229, -3.861]], "species": ["K", "Re", "P", "P"], "fractional_positions": [[0.000, 0.000, 0.000], [0.500, 0.500, 0.000], [0.354, 0.854, 0.500], [0.646, 0.146, 0.500]]}


{"formula": "KReP2", "functional": "PBE", "state": "optimized geometry", "formation_energy_mev_per_atom": -93, "cell": [[-1.534, 1.647, 7.829], [1.534, -1.647, 7.829], [1.534, 1.647, -7.829]], "species": ["K", "Re", "P", "P"], "fractional_positions": [[0.000, 0.000, 0.000], [0.759, 0.259, 0.500], [0.328, 0.828, 0.500], [0.645, 0.645, 0.000]]}


{"formula": "KRe2P", "functional": "PBE", "state": "optimized geometry", "formation_energy_mev_per_atom": 702, "cell": [[5.360, -1.409, 0.000], [5.360, 1.409, 0.000], [-2.016, 0.000, 5.596]], "species": ["K", "Re", "Re", "P"], "fractional_positions": [[0.000, 0.000, 0.000], [0.192, 0.192, 0.616], [0.808, 0.808, 0.384], [0.500, 0.500, 0.500]]}


{"formula": "KReP2", "functional": "PBE", "state": "optimized geometry", "formation_energy_mev_per_atom": -121, "cell": [[1.673, 0.966, 8.088], [-1.673, 0.966, 8.088], [0.000, -1.931, 8.088]], "species": ["K", "Re", "P", "P"], "fractional_positions": [[0.000, 0.000, 0.000], [0.500, 0.500, 0.500], [0.229, 0.229, 0.229], [0.771, 0.771, 0.771]]}


{"formula": "KRe2P", "functional": "PBE", "state": "optimized geometry", "formation_energy_mev_per_atom": 378, "cell": [[2.907, 0.000, 0.000], [0.000, 2.907, 0.000], [0.000, 0.000, 8.734]], "species": ["K", "Re", "Re", "P"], "fractional_positions": [[0.000, 0.000, 0.000], [0.000, 0.000, 0.452], [0.500, 0.500, 0.655], [0.500, 0.500, 0.289]]}


{"formula": "KReP2", "functional": "PBE", "state": "optimized geometry", "formation_energy_mev_per_atom": 1418, "cell": [[0.000, 3.234, 3.234], [3.234, 0.000, 3.234], [3.234, 3.234, 0.000]], "species": ["K", "Re", "P", "P"], "fractional_positions": [[0.000, 0.000, 0.000], [0.250, 0.250, 0.250], [0.500, 0.500, 0.500], [0.750, 0.750, 0.750]]}


{"formula": "KReP2", "functional": "PBE", "state": "optimized geometry", "formation_energy_mev_per_atom": -185, "cell": [[3.012, 0.000, 0.000], [0.000, 3.012, 0.000], [0.000, 0.000, 7.845]], "species": ["K", "Re", "P", "P"], "fractional_positions": [[0.000, 0.000, 0.000], [0.000, 0.000, 0.500], [0.500, 0.500, 0.319], [0.500, 0.500, 0.681]]}


{"formula": "KRe2P", "functional": "PBE", "state": "optimized geometry", "formation_energy_mev_per_atom": 646, "cell": [[1.535, -2.369, 0.000], [1.535, 2.369, 0.000], [0.000, 0.000, 9.682]], "species": ["K", "Re", "Re", "P"], "fractional_positions": [[0.000, 0.000, 0.000], [0.000, 0.000, 0.531], [0.500, 0.500, 0.307], [0.500, 0.500, 0.722]]}


{"formula": "KRe2P", "functional": "PBE", "state": "optimized geometry", "formation_energy_mev_per_atom": 1249, "cell": [[-2.271, 2.271, 3.196], [2.271, -2.271, 3.196], [2.271, 2.271, -3.196]], "species": ["K", "Re", "Re", "P"], "fractional_positions": [[0.000, 0.000, 0.000], [0.250, 0.750, 0.500], [0.500, 0.500, 0.000], [0.750, 0.250, 0.500]]}


{"formula": "KReP2", "functional": "PBE", "state": "optimized geometry", "formation_energy_mev_per_atom": 288, "cell": [[3.188, 0.000, 0.000], [0.000, 3.188, 0.000], [0.000, 0.000, 7.610]], "species": ["K", "Re", "P", "P"], "fractional_positions": [[0.000, 0.000, 0.000], [0.500, 0.500, 0.619], [0.000, 0.000, 0.507], [0.500, 0.500, 0.308]]}


{"formula": "KRe2P", "functional": "PBE", "state": "optimized geometry", "formation_energy_mev_per_atom": 616, "cell": [[1.449, 0.837, 9.527], [-1.449, 0.837, 9.527], [0.000, -1.673, 9.527]], "species": ["K", "Re", "Re", "P"], "fractional_positions": [[0.000, 0.000, 0.000], [0.229, 0.229, 0.229], [0.771, 0.771, 0.771], [0.500, 0.500, 0.500]]}


{"formula": "KReP2", "functional": "PBE", "state": "optimized geometry", "formation_energy_mev_per_atom": -156, "cell": [[-3.021, 3.021, 6.477], [3.021, -3.021, 6.477], [3.021, 3.021, -6.477]], "species": ["K", "K", "Re", "Re", "P", "P", "P", "P"], "fractional_positions": [[0.375, 0.625, 0.750], [0.625, 0.375, 0.250], [0.125, 0.875, 0.250], [0.875, 0.125, 0.750], [0.000, 0.000, 0.000], [0.000, 0.000, 0.500], [0.000, 0.500, 0.000], [0.500, 0.000, 0.500]]}


{"formula": "KRe2P", "functional": "PBE", "state": "optimized geometry", "formation_energy_mev_per_atom": 1489, "cell": [[2.715, -5.367, 0.000], [2.715, 5.367, 0.000], [0.000, 0.000, 2.518]], "species": ["K", "Re", "Re", "P"], "fractional_positions": [[0.000, 0.000, 0.000], [0.000, 0.500, 0.500], [0.500, 0.000, 0.500], [0.500, 0.500, 0.000]]}


{"formula": "KRe2P", "functional": "PBE", "state": "optimized geometry", "formation_energy_mev_per_atom": 361, "cell": [[3.033, 0.000, 0.000], [0.000, 4.194, 0.000], [-1.411, 0.000, 6.844]], "species": ["K", "Re", "Re", "P"], "fractional_positions": [[0.000, 0.000, 0.000], [0.263, 0.500, 0.568], [0.730, 0.000, 0.499], [0.638, 0.500, 0.300]]}


{"formula": "KRe2P", "functional": "PBE", "state": "optimized geometry", "formation_energy_mev_per_atom": 1063, "cell": [[2.594, 0.000, 0.000], [0.000, 4.830, 0.000], [-0.249, 0.000, 6.439]], "species": ["K", "Re", "Re", "P"], "fractional_positions": [[0.000, 0.000, 0.000], [0.413, 0.500, 0.322], [0.587, 0.500, 0.678], [0.500, 0.000, 0.500]]}


{"formula": "KReP2S", "functional": "PBE", "state": "optimized geometry", "formation_energy_uncorrected_ev_per_atom": 2.63, "cell": [[5.130, 0.000, 0.000], [0.000, 5.130, 0.000], [0.000, 0.000, 5.170]], "species": ["K", "Re", "P", "P", "S"], "fractional_positions": [[0.000, 0.000, 0.000], [0.500, 0.500, 0.500], [0.000, 0.500, 0.000], [0.500, 0.000, 0.000], [0.000, 0.000, 0.500]]}


{"formula": "KReP2S", "functional": "PBE", "state": "optimized geometry", "formation_energy_uncorrected_ev_per_atom": 0.06, "cell": [[4.608, 0.000, 0.000], [0.000, 4.608, 0.000], [0.000, 0.000, 5.192]], "species": ["K", "Re", "P", "P", "S"], "fractional_positions": [[0.000, 0.000, 0.000], [0.500, 0.500, 0.500], [0.000, 0.500, 0.500], [0.500, 0.000, 0.500], [0.500, 0.500, 0.000]]}


{"formula": "KReP2S8", "functional": "PBE", "state": "optimized geometry", "formation_energy_uncorrected_ev_per_atom": -0.30, "cell": [[2.956, 1.707, 9.610], [-2.956, 1.707, 9.610], [0.000, -3.413, 9.610]], "species": ["K", "Re", "P", "P", "S", "S", "S", "S", "S", "S", "S", "S"], "fractional_positions": [[0.000, 0.000, 0.000], [0.500, 0.500, 0.500], [0.234, 0.234, 0.234], [0.766, 0.766, 0.766], [0.127, 0.445, 0.792], [0.208, 0.873, 0.555], [0.303, 0.303, 0.303], [0.445, 0.792, 0.127], [0.555, 0.208, 0.873], [0.697, 0.697, 0.697], [0.792, 0.127, 0.445], [0.873, 0.555, 0.208]]}